Entry 1:
Compound: SrIr2Rh
Source: the Alexandria database
Functional: PBEsol
Structure: relaxed

```
SrIr2Rh
1.0
3.9802 0.0000 0.0000
0.0000 3.9802 0.0000
0.0000 0.0000 4.2390
Ir Rh Sr
2 1 1
Direct
0.0000 0.5000 0.0000
0.5000 0.0000 0.0000
0.5000 0.5000 0.5000
0.0000 0.0000 0.5000
```

Values from the calculation:
* Fermi-level density of states: 0.87 states/eV/atom
* formation energy from the elements: 0.44 eV/atom
* magnetization: 0.0 μB per formula unit
* DFT total energy: -6.9681 eV/atom



Entry 2:
Compound: ZrIn2Pt
Source: the Alexandria database
Functional: PBEsol
Structure: relaxed

```
ZrIn2Pt
1.0
4.2391 0.0000 0.0000
0.0000 4.2391 0.0000
-2.1196 -2.1196 4.3012
In Pt Zr
2 1 1
Direct
0.0000 0.0000 0.0000
0.7500 0.2500 0.5000
0.5000 0.5000 0.0000
0.2500 0.7500 0.5000
```

Values from the calculation:
* Fermi-level density of states: 0.46 states/eV/atom
* formation energy from the elements: -0.44 eV/atom
* magnetization: 0.0 μB per formula unit
* DFT total energy: -5.9407 eV/atom



Entry 3:
Compound: La2Si2PbSe8
Source: the Alexandria database
Functional: PBEsol
Structure: relaxed

```
La2Si2PbSe8
1.0
9.3453 0.0000 0.0000
-4.6727 7.9898 -0.0031
0.0000 -5.0456 9.3260
Pb Si Se La
2 4 16 4
Direct
0.7444 0.3284 0.7407
0.5840 0.3284 0.2407
0.8549 0.1807 0.0200
0.3259 0.1807 0.5200
0.1705 0.8194 0.9805
0.6488 0.8194 0.4805
0.9290 0.3357 0.2655
0.4067 0.3357 0.7655
0.0962 0.6746 0.7353
0.5784 0.6746 0.2353
0.6138 0.1418 0.9203
0.7931 0.8787 0.9418
0.0858 0.3501 0.9514
0.0856 0.8787 0.4418
0.5280 0.1418 0.4203
0.2642 0.3501 0.4514
0.4078 0.8307 0.0523
0.2262 0.1175 0.0716
0.9525 0.6569 0.0652
0.8913 0.1175 0.5716
0.4229 0.8307 0.5523
0.7044 0.6569 0.5652
0.4413 0.6874 0.7502
0.0571 0.9981 0.7552
0.2461 0.6874 0.2502
0.9410 0.9981 0.2552
```

Values from the calculation:
* Fermi-level density of states: 0.00 states/eV/atom
* ΔE_f (raw): -14.143 eV/f.u.
* magnetization: 0.0 μB per formula unit
* DFT total energy: -5.4715 eV/atom



Entry 4:
Compound: Ca2Mg
Source: the Alexandria database
Functional: PBEsol
Structure: relaxed

```
Ca2Mg
1.0
3.5937 0.0000 0.0000
0.0000 5.7136 0.0000
0.0000 -2.8568 4.9482
Ca Mg
2 1
Direct
0.6956 0.3333 0.6667
0.3044 0.6667 0.3333
0.0000 0.0000 0.0000
```

Values from the calculation:
* Fermi-level density of states: 1.04 states/eV/atom
* formation energy from the elements: 0.02 eV/atom
* magnetization: 0.0 μB per formula unit
* DFT total energy: -1.9761 eV/atom



Entry 5:
Compound: LaInPb2
Source: the Alexandria database
Functional: PBEsol
Structure: relaxed

```
LaInPb2
1.0
4.6676 0.0000 0.0000
0.0000 4.6676 0.0000
-2.3338 -2.3338 5.1231
Pb In La
2 1 1
Direct
0.0000 0.0000 0.0000
0.7500 0.2500 0.5000
0.5000 0.5000 0.0000
0.2500 0.7500 0.5000
```

Values from the calculation:
* Fermi-level density of states: 0.42 states/eV/atom
* formation energy from the elements: -0.43 eV/atom
* magnetization: 0.0 μB per formula unit
* DFT total energy: -4.5084 eV/atom



Entry 6:
Compound: LaAgHg
Source: the Alexandria database
Functional: PBEsol
Structure: relaxed

```
LaAgHg
1.0
-3.6217 -1.4920 -2.9617
0.0939 -4.5244 -1.9065
-3.2025 -3.3846 1.5502
Hg Ag La
1 1 1
Direct
0.2500 0.2500 0.2500
0.5000 0.5000 0.5000
0.0000 0.0000 0.0000
```

Values from the calculation:
* Fermi-level density of states: 1.20 states/eV/atom
* formation energy from the elements: -0.18 eV/atom
* magnetization: 0.0 μB per formula unit
* DFT total energy: -3.2555 eV/atom



Entry 7:
Compound: MnTl2Fe
Source: the Alexandria database
Functional: PBEsol
Structure: relaxed

```
MnTl2Fe
1.0
-0.9413 1.7270 2.4109
3.3166 -1.7259 2.5312
1.9366 3.8137 -3.9835
Fe Mn Tl
1 1 2
Direct
0.4811 0.4807 0.9623
0.7970 0.2976 0.5940
0.0015 0.0010 0.0029
0.2204 0.7208 0.4407
```

Values from the calculation:
* Fermi-level density of states: 0.51 states/eV/atom
* formation energy from the elements: 0.55 eV/atom
* magnetization: 5.7 μB per formula unit
* DFT total energy: -5.4490 eV/atom
* energy above the lowest structure with this stoichiometry: 0 meV per atom



Entry 8:
Compound: Ag2PtAu
Source: the Alexandria database
Functional: PBEsol
Structure: relaxed

```
Ag2PtAu
1.0
-0.6021 -1.7967 2.0242
2.0937 -0.6088 -1.7128
6.0982 4.5374 5.8414
Au Pt Ag
1 1 2
Direct
0.5000 0.5000 0.5000
0.5000 0.5000 0.0000
0.0000 0.0000 0.2468
0.0000 0.0000 0.7532
```

Values from the calculation:
* Fermi-level density of states: 0.31 states/eV/atom
* formation energy from the elements: 0.00 eV/atom
* magnetization: 0.0 μB per formula unit
* DFT total energy: -4.3820 eV/atom
* energy above the lowest structure with this stoichiometry: 37 meV per atom